Sc2NbBi, optimized geometry, DFT PBE-GGA; total magnetic moment = 2.02 μB/f.u.; space-group type = No. 216; electronic total energy = -6.655 eV/atom
1.0
0.0000 3.5139 3.5139
3.5139 0.0000 3.5139
3.5139 3.5139 0.0000
Sc Nb Bi
2 1 1
Cartesian
0.0000 0.0000 0.0000
1.7569 1.7569 1.7569
5.2708 5.2708 5.2708
3.5139 3.5139 3.5139